Entry 1:
# KHf2Tl, optimized geometry, DFT PBE
# Symmetry: I-42d (122)
# Energy above the lowest structure with this stoichiometry: 0 meV/atom
data_KHf2Tl
_chemical_formula_sum 'K2 Hf4 Tl2'
_cell_length_a 4.424
_cell_length_b 4.424
_cell_length_c 11.776
_cell_angle_alpha 79.17
_cell_angle_beta 79.17
_cell_angle_gamma 90.00
_space_group_name_H-M_alt 'P 1'
_space_group_IT_number 1
loop_
_space_group_symop_operation_xyz
'x,y,z'
loop_
_atom_site_label
_atom_site_type_symbol
_atom_site_fract_x
_atom_site_fract_y
_atom_site_fract_z
_atom_site_occupancy
Tl1 Tl 0.000 0.000 0.000 1
Tl2 Tl 0.750 0.250 0.500 1
Hf1 Hf 0.650 0.125 0.250 1
Hf2 Hf 0.100 0.625 0.250 1
Hf3 Hf 0.375 0.350 0.750 1
Hf4 Hf 0.875 0.900 0.750 1
K1 K 0.500 0.500 0.000 1
K2 K 0.250 0.750 0.500 1

---

Entry 2:
# NdDy6Co2, optimized geometry, DFT PBE
# Symmetry: Immm (71)
# Uncorrected energy: -5.225 eV per atom
data_NdDy6Co2
_chemical_formula_sum 'Nd2 Dy12 Co4'
_cell_length_a 8.528
_cell_length_b 8.528
_cell_length_c 8.528
_cell_angle_alpha 108.05
_cell_angle_beta 107.78
_cell_angle_gamma 112.63
_space_group_name_H-M_alt 'P 1'
_space_group_IT_number 1
loop_
_space_group_symop_operation_xyz
'x,y,z'
loop_
_atom_site_label
_atom_site_type_symbol
_atom_site_fract_x
_atom_site_fract_y
_atom_site_fract_z
_atom_site_occupancy
Nd1 Nd 0.000 0.500 0.500 1
Nd2 Nd 0.000 0.000 0.000 1
Dy1 Dy 0.479 0.291 0.188 1
Dy2 Dy 0.521 0.709 0.812 1
Dy3 Dy 0.897 0.709 0.188 1
Dy4 Dy 0.103 0.291 0.812 1
Dy5 Dy 0.220 0.765 0.985 1
Dy6 Dy 0.780 0.235 0.015 1
Dy7 Dy 0.780 0.765 0.544 1
Dy8 Dy 0.220 0.235 0.456 1
Dy9 Dy 0.315 0.997 0.682 1
Dy10 Dy 0.685 0.003 0.318 1
Dy11 Dy 0.685 0.367 0.682 1
Dy12 Dy 0.315 0.633 0.318 1
Co1 Co 0.500 0.388 0.888 1
Co2 Co 0.500 0.612 0.112 1
Co3 Co 0.330 0.000 0.330 1
Co4 Co 0.670 0.000 0.670 1

---

Entry 3:
# TcBi3S, optimized geometry, DFT PBE
# Symmetry: Pm-3m (221)
# Energy above the lowest structure with this stoichiometry: 0 meV/atom
data_TcBi3S
_chemical_formula_sum 'Tc1 Bi3 S1'
_cell_length_a 5.268
_cell_length_b 5.268
_cell_length_c 5.268
_cell_angle_alpha 90.00
_cell_angle_beta 90.00
_cell_angle_gamma 90.00
_space_group_name_H-M_alt 'P 1'
_space_group_IT_number 1
loop_
_space_group_symop_operation_xyz
'x,y,z'
loop_
_atom_site_label
_atom_site_type_symbol
_atom_site_fract_x
_atom_site_fract_y
_atom_site_fract_z
_atom_site_occupancy
S1 S 0.500 0.500 0.500 1
Bi1 Bi 0.000 0.500 0.000 1
Bi2 Bi 0.000 0.000 0.500 1
Bi3 Bi 0.500 0.000 0.000 1
Tc1 Tc 0.000 0.000 0.000 1

---

Entry 4:
# Nd6SbRu2, optimized geometry, DFT PBE
# Symmetry: C2/c (15)
# Uncorrected energy: -6.062 eV per atom
data_Nd6SbRu2
_chemical_formula_sum 'Nd12 Sb2 Ru4'
_cell_length_a 6.454
_cell_length_b 9.619
_cell_length_c 9.619
_cell_angle_alpha 66.60
_cell_angle_beta 78.03
_cell_angle_gamma 78.03
_space_group_name_H-M_alt 'P 1'
_space_group_IT_number 1
loop_
_space_group_symop_operation_xyz
'x,y,z'
loop_
_atom_site_label
_atom_site_type_symbol
_atom_site_fract_x
_atom_site_fract_y
_atom_site_fract_z
_atom_site_occupancy
Nd1 Nd 0.360 0.687 0.520 1
Nd2 Nd 0.140 0.480 0.313 1
Nd3 Nd 0.640 0.313 0.480 1
Nd4 Nd 0.860 0.520 0.687 1
Nd5 Nd 0.788 0.938 0.444 1
Nd6 Nd 0.712 0.556 0.062 1
Nd7 Nd 0.212 0.062 0.556 1
Nd8 Nd 0.288 0.444 0.938 1
Nd9 Nd 0.188 0.818 0.953 1
Nd10 Nd 0.312 0.047 0.182 1
Nd11 Nd 0.812 0.182 0.047 1
Nd12 Nd 0.688 0.953 0.818 1
Sb1 Sb 0.250 0.201 0.799 1
Sb2 Sb 0.750 0.799 0.201 1
Ru1 Ru 0.021 0.739 0.744 1
Ru2 Ru 0.479 0.256 0.261 1
Ru3 Ru 0.979 0.261 0.256 1
Ru4 Ru 0.521 0.744 0.739 1

---

Entry 5:
# Sr3MgTe, optimized geometry, DFT PBE
# Symmetry: Pm-3m (221)
# Energy above the lowest structure with this stoichiometry: 0 meV/atom
data_Sr3MgTe
_chemical_formula_sum 'Sr3 Mg1 Te1'
_cell_length_a 6.283
_cell_length_b 6.283
_cell_length_c 6.283
_cell_angle_alpha 90.00
_cell_angle_beta 90.00
_cell_angle_gamma 90.00
_space_group_name_H-M_alt 'P 1'
_space_group_IT_number 1
loop_
_space_group_symop_operation_xyz
'x,y,z'
loop_
_atom_site_label
_atom_site_type_symbol
_atom_site_fract_x
_atom_site_fract_y
_atom_site_fract_z
_atom_site_occupancy
Sr1 Sr 0.000 0.500 0.000 1
Sr2 Sr 0.000 0.000 0.500 1
Sr3 Sr 0.500 0.000 0.000 1
Mg1 Mg 0.500 0.500 0.500 1
Te1 Te 0.000 0.000 0.000 1

---

Entry 6:
# LiI, optimized geometry, DFT PBE
# Symmetry: Fddd (70)
# Energy above the lowest structure with this stoichiometry: 36 meV/atom
data_LiI
_chemical_formula_sum 'Li16 I16'
_cell_length_a 10.549
_cell_length_b 12.295
_cell_length_c 9.569
_cell_angle_alpha 90.00
_cell_angle_beta 90.00
_cell_angle_gamma 90.00
_space_group_name_H-M_alt 'P 1'
_space_group_IT_number 1
loop_
_space_group_symop_operation_xyz
'x,y,z'
loop_
_atom_site_label
_atom_site_type_symbol
_atom_site_fract_x
_atom_site_fract_y
_atom_site_fract_z
_atom_site_occupancy
Li1 Li 0.000 0.859 0.000 1
Li2 Li 0.000 0.141 0.000 1
Li3 Li 0.250 0.891 0.250 1
Li4 Li 0.250 0.609 0.250 1
Li5 Li 0.000 0.359 0.500 1
Li6 Li 0.000 0.641 0.500 1
Li7 Li 0.250 0.391 0.750 1
Li8 Li 0.250 0.109 0.750 1
Li9 Li 0.500 0.859 0.500 1
Li10 Li 0.500 0.141 0.500 1
Li11 Li 0.750 0.891 0.750 1
Li12 Li 0.750 0.609 0.750 1
Li13 Li 0.500 0.359 0.000 1
Li14 Li 0.500 0.641 0.000 1
Li15 Li 0.750 0.391 0.250 1
Li16 Li 0.750 0.109 0.250 1
I1 I 0.208 0.000 0.000 1
I2 I 0.792 0.000 0.000 1
I3 I 0.042 0.750 0.250 1
I4 I 0.458 0.750 0.250 1
I5 I 0.208 0.500 0.500 1
I6 I 0.792 0.500 0.500 1
I7 I 0.042 0.250 0.750 1
I8 I 0.458 0.250 0.750 1
I9 I 0.708 0.000 0.500 1
I10 I 0.292 0.000 0.500 1
I11 I 0.542 0.750 0.750 1
I12 I 0.958 0.750 0.750 1
I13 I 0.708 0.500 0.000 1
I14 I 0.292 0.500 0.000 1
I15 I 0.542 0.250 0.250 1
I16 I 0.958 0.250 0.250 1